A relaxed LaTc2As crystal, computed with PBE.

Cell: 9.375 9.375 9.375 Å, 18.84 18.84 18.84°
Fractional positions:
As1 0.516 0.516 0.516
Tc1 0.988 0.988 0.988
Tc2 0.249 0.249 0.249
La1 0.748 0.748 0.748

Summary:
Magnetization in μB per cell: 0.204
Electronic total energy in eV/f.u.: -29.30